A geometry-optimized SrTbFeO4 structure. Source: the Alexandria database, functional PBE+U.

Cell: 5.8070 5.8749 6.8720 Å, 90.00 108.67 90.00°
Closest atoms and distances in Å follow each position.
Fractional coordinates of all 14 atoms:
Sr  0.2240  0.2500  0.4407  2 O 2.38-2.41
Sr  0.7760  0.7500  0.5593  2 O 2.38-2.41
Tb  0.3150  0.2500  0.9641  6 O 2.28-2.42
Tb  0.6850  0.7500  0.0359  6 O 2.28-2.42
Fe  0.2306  0.7500  0.1773  4 O 1.86-1.93
Fe  0.7694  0.2500  0.8227  4 O 1.86-1.93
O  0.0085  0.7500  0.9135  1 Fe 1.86
O  0.0210  0.7500  0.3356  1 Fe 1.87
O  0.4721  0.5152  0.2132  1 Fe 1.93
O  0.4721  0.9848  0.2132  1 Fe 1.93
O  0.5279  0.0152  0.7868  1 Fe 1.93
O  0.5279  0.4848  0.7868  1 Fe 1.93
O  0.9790  0.2500  0.6644  1 Fe 1.87
O  0.9915  0.2500  0.0865  1 Fe 1.86

## Properties
Uncorrected energy (eV per atom): -7.057